Rb2ScVFe: optimized geometry, PBE.

Calculated values
Energy in eV/atom: -3.660
Calculated volume in Å³ per cell: 186.92
Energy of formation from the pure elements in meV/atom: 1510

a b c (Å): 6.817 4.023 6.817
angles (deg): 90.00 90.00 90.00
Each line ends with the local moment (μB).
Element x y z (fractional)
Fe 0.000 0.000 0.000  0.02
Rb 0.000 0.000 0.500  0.01
Rb 0.500 0.000 0.000  0.01
Sc 0.500 0.500 0.500  0.82
V 0.000 0.500 0.000  0.01

Sr2FePb: optimized geometry, PBE.

Calculated values
Energy in eV/atom: -3.664
Calculated volume in Å³ per cell: 130.66
Energy of formation from the pure elements in meV/atom: 220

a b c (Å): 3.782 3.782 9.135
angles (deg): 90.00 90.00 90.00
Each line ends with the local moment (μB).
Element x y z (fractional)
Sr 0.500 0.500 0.319  -0.06
Sr 0.000 0.000 0.936  -0.01
Pb 0.500 0.500 0.678  -0.08
Fe 0.000 0.000 0.567  2.62

CsHoFe2Br8: optimized geometry, PBE.

Calculated values
Energy in eV/atom: -4.077
Formation energy without anion corrections in eV/atom: -1.10
Calculated volume in Å³ per cell: 461.11

a b c (Å): 6.879 6.879 10.555
angles (deg): 84.04 84.04 68.50
Each line ends with the local moment (μB).
Element x y z (fractional)
Br 0.231 0.731 0.195  0.06
Br 0.754 0.754 0.005  0.06
Br 0.314 0.314 0.593  0.11
Fe 0.382 0.382 0.796  3.37
Br 0.246 0.246 0.995  0.06
Br 0.769 0.269 0.805  0.06
Br 0.269 0.769 0.805  0.06
Ho 0.000 0.000 0.000  0.05
Cs 0.000 0.000 0.500  0.00
Br 0.731 0.231 0.195  0.06
Fe 0.618 0.618 0.204  3.37
Br 0.686 0.686 0.407  0.11

Tb2PuTiN5: optimized geometry, PBE.

Calculated values
Energy in eV/atom: -9.474
Formation energy without anion corrections in eV/atom: -1.35
Calculated volume in Å³ per cell: 240.13

a b c (Å): 3.425 7.114 10.155
angles (deg): 90.00 90.00 103.93
Each line ends with the local moment (μB).
Element x y z (fractional)
Tb 0.894 0.788 0.191  0.01
N 0.946 0.893 0.545  -0.06
N 0.506 0.011 0.282  -0.02
Pu 0.214 0.428 0.008  3.45
Tb 0.869 0.738 0.792  0.04
Pu 0.786 0.572 0.508  3.45
Ti 0.484 0.968 0.467  0.04
N 0.719 0.438 0.150  -0.17
N 0.281 0.562 0.650  -0.17
N 0.309 0.618 0.378  -0.18
N 0.623 0.247 0.508  -0.07
Ti 0.516 0.032 0.967  0.04
Tb 0.131 0.262 0.292  0.04
N 0.377 0.753 0.008  -0.07
N 0.494 0.989 0.782  -0.02
Tb 0.106 0.212 0.691  0.01
N 0.054 0.107 0.045  -0.06
N 0.691 0.382 0.878  -0.18